(1)
Here is crystalline NaCuHg2F8 at its relaxed geometry from Alexandria via LeMat-Bulk. Energies are from PBE.

total energy = -40.7 eV/cell
crystal system = monoclinic
formation energy (no corrections) = -1.639 eV per atom

Cell: 5.0613 7.0321 5.1115 Å, 90.00 90.60 90.00°
Fractional coordinates of all 12 atoms:
Na  0.0000  0.0000  0.0000
Cu  0.0000  0.5000  0.0000
Hg  0.5000  0.2552  0.5000
Hg  0.5000  0.7448  0.5000
F  0.1819  0.2946  0.1797
F  0.1819  0.7054  0.1797
F  0.2731  0.5000  0.7259
F  0.3053  0.0000  0.6953
F  0.6947  0.0000  0.3047
F  0.7269  0.5000  0.2741
F  0.8181  0.2946  0.8203
F  0.8181  0.7054  0.8203

***

(2)
Here is crystalline Na2CuHgF6 at its relaxed geometry from Alexandria via LeMat-Bulk. Energies are from PBE.

total energy = -76.5 eV/cell
crystal system = monoclinic
formation energy (no corrections) = -1.999 eV per atom

Cell: 5.7828 5.7874 9.8948 Å, 90.00 119.13 90.00°
Fractional coordinates of all 20 atoms:
Na  0.1978  0.0614  0.2243
Na  0.1978  0.4386  0.7243
Na  0.8022  0.5614  0.2757
Na  0.8022  0.9386  0.7757
Cu  0.0000  0.0000  0.5000
Cu  0.0000  0.5000  0.0000
Hg  0.5000  0.0000  0.0000
Hg  0.5000  0.5000  0.5000
F  0.0963  0.2150  0.9431
F  0.0963  0.2850  0.4431
F  0.1691  0.6702  0.9052
F  0.1691  0.8298  0.4052
F  0.4232  0.0853  0.7719
F  0.4232  0.4147  0.2719
F  0.5768  0.5853  0.7281
F  0.5768  0.9147  0.2281
F  0.8309  0.1702  0.5948
F  0.8309  0.3298  0.0948
F  0.9037  0.7150  0.5569
F  0.9037  0.7850  0.0569